Entry 1:
Here is a geometry-optimized CaMnOs structure from Alexandria via LeMat-Bulk. Energies are from GGA-PBE.

Cell: 2.987 2.987 7.045 Å, 90.00 90.00 120.00°
Atoms (fractional coordinates):
Ca: 0.000 0.000 0.000
Mn: 0.667 0.333 0.388
Os: 0.333 0.667 0.650

Output
Fermi-level density of states (states/eV/cell): 2.8
DFT total energy (Ha/atom): -0.24884
Total magnetization (Bohr magnetons per cell): 3.066

---

Entry 2:
Here is a geometry-optimized LaSbAs2Rh5 structure from Alexandria via LeMat-Bulk. Energies are from GGA-PBE.

Cell: 4.104 4.104 10.688 Å, 90.00 90.00 90.00°
Atoms (fractional coordinates):
La: 0.000 0.000 0.000
Sb: 0.000 0.000 0.500
As: 0.500 0.500 0.224
As: 0.500 0.500 0.776
Rh: 0.000 0.500 0.343
Rh: 0.000 0.500 0.657
Rh: 0.500 0.000 0.343
Rh: 0.500 0.000 0.657
Rh: 0.500 0.500 0.000

Output
Fermi-level density of states (states/eV/cell): 4.2
DFT total energy (Ha/atom): -0.24748
Total magnetization (Bohr magnetons per cell): 0.000